Entry one
Crystalline KRe2Br at its relaxed geometry, computed with PBE-GGA.

The structure belongs to space group Cmmm (No. 65); the cell edges are 2.917, 4.844 and 10.875 Å and the angles 90.00°, 90.00° and 90.00°. The distinct sites, in fractional coordinates, are K at (0.000, 0.000, 0.000), Re at (0.000, 0.500, 0.276) and Br at (0.000, 0.000, 0.500).

Entry two
Crystalline KRe2Br at its relaxed geometry, computed with PBE-GGA.

The structure belongs to space group P4/mmm (No. 123); the cell edges are 3.785, 3.785 and 7.002 Å and the angles 90.00°, 90.00° and 90.00°. The distinct sites, in fractional coordinates, are K at (0.000, 0.000, 0.000), Re at (0.000, 0.500, 0.500) and Br at (0.500, 0.500, 0.000).

Name the most stable of them. entry two.

Entry one
Crystalline KReBr at its relaxed geometry, computed with PBE-GGA.

The structure belongs to space group Imm2 (No. 44); the cell edges are 2.993, 4.028 and 12.186 Å and the angles 90.00°, 90.00° and 90.00°. The distinct sites, in fractional coordinates, are K at (0.000, 0.000, 0.000), Re at (0.000, 0.000, 0.285) and Br at (0.000, 0.000, 0.726).

Entry two
Crystalline KReBr at its relaxed geometry, computed with PBE-GGA.

The structure belongs to space group F-43m (No. 216); the cell edges are 7.808, 7.808 and 7.808 Å and the angles 90.00°, 90.00° and 90.00°. The distinct sites, in fractional coordinates, are K at (0.000, 0.000, 0.000), Re at (0.000, 0.000, 0.500) and Br at (0.250, 0.250, 0.750).

Name the most stable of them. entry one.

Entry one
Crystalline KRh2Br at its relaxed geometry, computed with PBE-GGA.

The structure belongs to space group P2/m (No. 10); the cell edges are 4.631, 4.581 and 5.193 Å and the angles 90.00°, 97.76° and 90.00°. The distinct sites, in fractional coordinates, are K at (0.000, 0.000, 0.000), Rh at (0.256, 0.500, 0.578) and Br at (0.500, 0.000, 0.500).

Entry two
Crystalline KRh2Br at its relaxed geometry, computed with PBE-GGA.

The structure belongs to space group C2/m (No. 12); the cell edges are 5.687, 11.066 and 3.347 Å and the angles 90.00°, 126.01° and 90.00°. The distinct sites, in fractional coordinates, are K at (0.000, 0.000, 0.000), Rh at (0.250, 0.250, 0.500) and Br at (0.000, 0.500, 0.000).

Entry three
Crystalline KRh2Br at its relaxed geometry, computed with PBE-GGA.

The structure belongs to space group Fm-3m (No. 225); the cell edges are 6.785, 6.785 and 6.785 Å and the angles 90.00°, 90.00° and 90.00°. The distinct sites, in fractional coordinates, are K at (0.000, 0.000, 0.000), Rh at (0.250, 0.250, 0.250) and Br at (0.000, 0.000, 0.500).

Entry four
Crystalline KRh2Br at its relaxed geometry, computed with PBE-GGA.

The structure belongs to space group P4/mmm (No. 123); the cell edges are 3.138, 3.138 and 8.317 Å and the angles 90.00°, 90.00° and 90.00°. The distinct sites, in fractional coordinates, are K at (0.000, 0.000, 0.000), Rh at (0.500, 0.500, 0.316) and Br at (0.000, 0.000, 0.500).

Name the most stable of them. entry one.

Entry one
Crystalline KRhBr4 at its relaxed geometry, computed with PBE-GGA.

The structure belongs to space group C2/c (No. 15); the cell edges are 16.153, 6.204 and 7.011 Å and the angles 90.00°, 104.75° and 90.00°. The distinct sites, in fractional coordinates, are K at (0.000, 0.160, 0.250), Rh at (0.250, 0.250, 0.000), Br at (0.097, 0.369, 0.933) and Br at (0.199, 0.073, 0.662).

Entry two
Crystalline KRhBr4 at its relaxed geometry, computed with PBE-GGA.

The structure belongs to space group F-43m (No. 216); the cell edges are 9.124, 9.124 and 9.124 Å and the angles 90.00°, 90.00° and 90.00°. The distinct sites, in fractional coordinates, are K at (0.000, 0.000, 0.000), Rh at (0.250, 0.250, 0.750) and Br at (0.125, 0.125, 0.375).

Entry three
Crystalline KRhBr4 at its relaxed geometry, computed with PBE-GGA.

The structure belongs to space group C2/c (No. 15); the cell edges are 8.254, 17.304 and 6.440 Å and the angles 90.00°, 113.89° and 90.00°. The distinct sites, in fractional coordinates, are K at (0.000, 0.184, 0.250), Rh at (0.000, 0.445, 0.250), Br at (0.183, 0.451, 0.669) and Br at (0.202, 0.343, 0.210).

Name the most stable of them. entry three.

Entry one
Crystalline KRhBr at its relaxed geometry, computed with PBE-GGA.

The structure belongs to space group I4mm (No. 107); the cell edges are 3.683, 3.683 and 11.429 Å and the angles 90.00°, 90.00° and 90.00°. The distinct sites, in fractional coordinates, are K at (0.000, 0.000, 0.000), Rh at (0.000, 0.000, 0.727) and Br at (0.000, 0.000, 0.270).

Entry two
Crystalline KRhBr at its relaxed geometry, computed with PBE-GGA.

The structure belongs to space group Imm2 (No. 44); the cell edges are 3.520, 5.087 and 9.111 Å and the angles 90.00°, 90.00° and 90.00°. The distinct sites, in fractional coordinates, are K at (0.000, 0.000, 0.000), Rh at (0.000, 0.000, 0.372) and Br at (0.000, 0.000, 0.639).

Entry three
Crystalline KRhBr at its relaxed geometry, computed with PBE-GGA.

The structure belongs to space group F-43m (No. 216); the cell edges are 7.251, 7.251 and 7.251 Å and the angles 90.00°, 90.00° and 90.00°. The distinct sites, in fractional coordinates, are K at (0.000, 0.000, 0.000), Rh at (0.250, 0.250, 0.750) and Br at (0.250, 0.250, 0.250).

Name the most stable of them. entry one.

Entry one
Crystalline KRhBr3 at its relaxed geometry, computed with PBE-GGA.

The structure belongs to space group Pm-3m (No. 221); the cell edges are 5.957, 5.957 and 5.957 Å and the angles 90.00°, 90.00° and 90.00°. The distinct sites, in fractional coordinates, are K at (0.000, 0.000, 0.000), Rh at (0.500, 0.500, 0.500) and Br at (0.000, 0.000, 0.500).

Entry two
Crystalline KRhBr3 at its relaxed geometry, computed with PBE-GGA.

The structure belongs to space group Pm-3m (No. 221); the cell edges are 5.174, 5.174 and 5.174 Å and the angles 90.00°, 90.00° and 90.00°. The distinct sites, in fractional coordinates, are K at (0.000, 0.000, 0.000), Rh at (0.500, 0.500, 0.500) and Br at (0.000, 0.500, 0.500).

Name the most stable of them. entry two.

Entry one
Crystalline KRuBr3 at its relaxed geometry, computed with PBE-GGA.

The structure belongs to space group Pm-3m (No. 221); the cell edges are 5.223, 5.223 and 5.223 Å and the angles 90.00°, 90.00° and 90.00°. The distinct sites, in fractional coordinates, are K at (0.000, 0.000, 0.000), Ru at (0.500, 0.500, 0.500) and Br at (0.000, 0.500, 0.500).

Entry two
Crystalline KRuBr3 at its relaxed geometry, computed with PBE-GGA.

The structure belongs to space group Pm-3m (No. 221); the cell edges are 5.885, 5.885 and 5.885 Å and the angles 90.00°, 90.00° and 90.00°. The distinct sites, in fractional coordinates, are K at (0.000, 0.000, 0.000), Ru at (0.500, 0.500, 0.500) and Br at (0.000, 0.000, 0.500).

Name the most stable of them. entry one.

Entry one
Crystalline KRuSeBr2 at its relaxed geometry, computed with PBE-GGA.

The structure belongs to space group P4/mmm (No. 123); the cell edges are 5.767, 5.767 and 5.791 Å and the angles 90.00°, 90.00° and 90.00°. The distinct sites, in fractional coordinates, are K at (0.000, 0.000, 0.000), Ru at (0.500, 0.500, 0.500), Se at (0.000, 0.000, 0.500) and Br at (0.000, 0.500, 0.000).

Entry two
Crystalline KRuSeBr2 at its relaxed geometry, computed with PBE-GGA.

The structure belongs to space group P4/mmm (No. 123); the cell edges are 5.443, 5.443 and 4.659 Å and the angles 90.00°, 90.00° and 90.00°. The distinct sites, in fractional coordinates, are K at (0.000, 0.000, 0.000), Ru at (0.500, 0.500, 0.500), Se at (0.500, 0.500, 0.000) and Br at (0.000, 0.500, 0.500).

Name the most stable of them. entry two.

Entry one
Crystalline K2SBr at its relaxed geometry, computed with PBE-GGA.

The structure belongs to space group I-42d (No. 122); the cell edges are 8.692, 8.692 and 6.736 Å and the angles 90.00°, 90.00° and 90.00°. The distinct sites, in fractional coordinates, are K at (0.232, 0.250, 0.125), S at (0.000, 0.000, 0.000) and Br at (0.000, 0.000, 0.500).

Entry two
Crystalline K2SBr at its relaxed geometry, computed with PBE-GGA.

The structure belongs to space group Fm-3m (No. 225); the cell edges are 7.904, 7.904 and 7.904 Å and the angles 90.00°, 90.00° and 90.00°. The distinct sites, in fractional coordinates, are K at (0.250, 0.250, 0.250), S at (0.000, 0.000, 0.000) and Br at (0.000, 0.000, 0.500).

Entry three
Crystalline K2SBr at its relaxed geometry, computed with PBE-GGA.

The structure belongs to space group P4/mmm (No. 123); the cell edges are 3.898, 3.898 and 8.048 Å and the angles 90.00°, 90.00° and 90.00°. The distinct sites, in fractional coordinates, are K at (0.000, 0.000, 0.248), S at (0.500, 0.500, 0.000) and Br at (0.500, 0.500, 0.500).

Name the most stable of them. entry three.

Entry one
Crystalline K3SBr at its relaxed geometry, computed with PBE-GGA.

The structure belongs to space group Pnma (No. 62); the cell edges are 8.329, 4.745 and 18.268 Å and the angles 90.00°, 90.00° and 90.00°. The distinct sites, in fractional coordinates, are K at (0.014, 0.250, 0.088), K at (0.129, 0.750, 0.454), K at (0.145, 0.250, 0.705), S at (0.238, 0.750, 0.047) and Br at (0.159, 0.250, 0.299).

Entry two
Crystalline K3SBr at its relaxed geometry, computed with PBE-GGA.

The structure belongs to space group Pm-3m (No. 221); the cell edges are 5.990, 5.990 and 5.990 Å and the angles 90.00°, 90.00° and 90.00°. The distinct sites, in fractional coordinates, are K at (0.000, 0.000, 0.500), S at (0.000, 0.000, 0.000) and Br at (0.500, 0.500, 0.500).

Name the most stable of them. entry one.

Entry one
Crystalline KSbBr at its relaxed geometry, computed with PBE-GGA.

The structure belongs to space group F-43m (No. 216); the cell edges are 8.204, 8.204 and 8.204 Å and the angles 90.00°, 90.00° and 90.00°. The distinct sites, in fractional coordinates, are K at (0.000, 0.000, 0.000), Sb at (0.000, 0.000, 0.500) and Br at (0.250, 0.250, 0.750).

Entry two
Crystalline KSbBr at its relaxed geometry, computed with PBE-GGA.

The structure belongs to space group F-43m (No. 216); the cell edges are 8.227, 8.227 and 8.227 Å and the angles 90.00°, 90.00° and 90.00°. The distinct sites, in fractional coordinates, are K at (0.000, 0.000, 0.000), Sb at (0.250, 0.250, 0.750) and Br at (0.250, 0.250, 0.250).

Name the most stable of them. entry one.